WBrCl3: optimized geometry, PBE.

Summary:
Space group   Pm-3m, No. 221
Calculated total energy   -2.579 eV/atom
Crystal system   cubic
Energy relative to the lowest polymorph listed for this composition   50.68 kcal/mol of atoms
Uncorrected formation energy   1454 meV/atom

Lattice parameters (Å, degrees): 5.246 5.246 5.246 90.00 90.00 90.00
Positions (direct):
1 W 0.000 0.000 0.000
2 Br 0.500 0.500 0.500
3 Cl 0.000 0.500 0.500
4 Cl 0.500 0.000 0.500
5 Cl 0.500 0.500 0.000

***

Pr6YTm2Sc: optimized geometry, PBE.

Summary:
Space group   C2/c, No. 15
Formation enthalpy at 0 K   126 meV per atom
Calculated total energy   -4.916 eV/atom
Crystal system   monoclinic

Lattice parameters (Å, degrees): 9.003 9.003 9.454 93.34 93.34 117.84
Positions (direct):
1 Pr 0.011 0.442 0.804
2 Pr 0.121 0.770 0.551
3 Pr 0.230 0.879 0.949
4 Pr 0.290 0.513 0.387
5 Pr 0.442 0.011 0.304
6 Pr 0.487 0.710 0.113
7 Pr 0.513 0.290 0.887
8 Pr 0.558 0.989 0.696
9 Pr 0.710 0.487 0.613
10 Pr 0.770 0.121 0.051
11 Pr 0.879 0.230 0.449
12 Pr 0.989 0.558 0.196
13 Y 0.027 0.973 0.250
14 Y 0.973 0.027 0.750
15 Tm 0.205 0.303 0.048
16 Tm 0.303 0.205 0.548
17 Tm 0.697 0.795 0.452
18 Tm 0.795 0.697 0.952
19 Sc 0.423 0.577 0.750
20 Sc 0.577 0.423 0.250

***

Sm2Ho2Tm15: optimized geometry, PBE.

Summary:
Space group   R-3m, No. 166
Formation enthalpy at 0 K   285 meV per atom
Calculated total energy   -4.224 eV/atom
Crystal system   trigonal

Lattice parameters (Å, degrees): 8.628 8.628 8.628 80.17 80.17 80.17
Positions (direct):
1 Sm 0.173 0.173 0.173
2 Sm 0.827 0.827 0.827
3 Ho 0.398 0.398 0.398
4 Ho 0.602 0.602 0.602
5 Tm 0.000 0.500 0.500
6 Tm 0.135 0.135 0.648
7 Tm 0.135 0.648 0.135
8 Tm 0.200 0.500 0.800
9 Tm 0.200 0.800 0.500
10 Tm 0.352 0.865 0.865
11 Tm 0.500 0.000 0.500
12 Tm 0.500 0.200 0.800
13 Tm 0.500 0.500 0.000
14 Tm 0.500 0.800 0.200
15 Tm 0.648 0.135 0.135
16 Tm 0.800 0.200 0.500
17 Tm 0.800 0.500 0.200
18 Tm 0.865 0.352 0.865
19 Tm 0.865 0.865 0.352

***

MgNiAu2: optimized geometry, PBE.

Summary:
Space group   Pmm2, No. 25
Formation enthalpy at 0 K   -220 meV per atom
Calculated total energy   -3.703 eV/atom
Crystal system   orthorhombic

Lattice parameters (Å, degrees): 2.959 3.863 5.647 90.00 90.00 90.00
Positions (direct):
1 Mg 0.000 0.000 0.000
2 Ni 0.500 0.500 0.248
3 Au 0.000 0.000 0.467
4 Au 0.500 0.500 0.760

***

Bi2Pb2Au: optimized geometry, PBE.

Summary:
Space group   Ibam, No. 72
Formation enthalpy at 0 K   -11 meV per atom
Calculated total energy   -3.702 eV/atom
Crystal system   orthorhombic
Energy relative to the lowest polymorph listed for this composition   0.11 kcal/mol of atoms

Lattice parameters (Å, degrees): 8.796 8.796 8.796 135.94 59.99 141.41
Positions (direct):
1 Bi 0.093 0.156 0.250
2 Bi 0.407 0.656 0.063
3 Bi 0.593 0.344 0.937
4 Bi 0.907 0.844 0.750
5 Pb 0.181 0.658 0.838
6 Pb 0.319 0.158 0.477
7 Pb 0.681 0.842 0.523
8 Pb 0.819 0.342 0.162
9 Au 0.250 0.750 0.500
10 Au 0.750 0.250 0.500

***

HgSb: optimized geometry, PBE.

Summary:
Space group   P6_3/mmc, No. 194
Calculated total energy   -2.056 eV/atom
Crystal system   hexagonal
Energy relative to the lowest polymorph listed for this composition   2.94 kcal/mol of atoms
Uncorrected formation energy   157 meV/atom

Lattice parameters (Å, degrees): 4.486 4.486 6.642 90.00 90.00 120.00
Positions (direct):
1 Hg 0.333 0.667 0.250
2 Hg 0.667 0.333 0.750
3 Sb 0.000 0.000 0.000
4 Sb 0.000 0.000 0.500

***

In3Ir: optimized geometry, PBE.

Summary:
Space group   P4_2/mnm, No. 136
Formation enthalpy at 0 K   -161 meV per atom
Calculated total energy   -4.430 eV/atom
Crystal system   tetragonal

Lattice parameters (Å, degrees): 7.096 7.096 7.309 90.00 90.00 90.00
Positions (direct):
1 In 0.000 0.500 0.000
2 In 0.000 0.500 0.500
3 In 0.151 0.151 0.244
4 In 0.151 0.151 0.756
5 In 0.349 0.651 0.256
6 In 0.349 0.651 0.744
7 In 0.500 0.000 0.000
8 In 0.500 0.000 0.500
9 In 0.651 0.349 0.256
10 In 0.651 0.349 0.744
11 In 0.849 0.849 0.244
12 In 0.849 0.849 0.756
13 Ir 0.156 0.844 0.000
14 Ir 0.344 0.344 0.500
15 Ir 0.656 0.656 0.500
16 Ir 0.844 0.156 0.000

***

CsCdIn4Hg2: optimized geometry, PBE.

Summary:
Space group   P4/mmm, No. 123
Formation enthalpy at 0 K   -83 meV per atom
Calculated total energy   -1.749 eV/atom
Crystal system   tetragonal

Lattice parameters (Å, degrees): 5.085 5.085 9.724 90.00 90.00 90.00
Positions (direct):
1 Cs 0.000 0.000 0.000
2 Cd 0.000 0.000 0.500
3 In 0.000 0.500 0.332
4 In 0.000 0.500 0.668
5 In 0.500 0.000 0.332
6 In 0.500 0.000 0.668
7 Hg 0.500 0.500 0.154
8 Hg 0.500 0.500 0.846

***

Fe2HgRh: optimized geometry, PBE.

Summary:
Space group   Pmmm, No. 47
Formation enthalpy at 0 K   196 meV per atom
Calculated total energy   -5.949 eV/atom
Crystal system   orthorhombic

Lattice parameters (Å, degrees): 2.833 3.793 5.600 90.00 90.00 90.00
Positions (direct):
1 Fe 0.000 0.000 0.215
2 Fe 0.000 0.000 0.785
3 Hg 0.500 0.500 0.500
4 Rh 0.500 0.500 0.000

***

Nd2SmAg2Pb2: optimized geometry, PBE.

Summary:
Space group   R-3m, No. 166
Formation enthalpy at 0 K   -281 meV per atom
Calculated total energy   -4.191 eV/atom
Crystal system   trigonal

Lattice parameters (Å, degrees): 9.381 9.381 9.381 30.80 30.80 30.80
Positions (direct):
1 Nd 0.136 0.136 0.136
2 Nd 0.864 0.864 0.864
3 Sm 0.000 0.000 0.000
4 Ag 0.436 0.436 0.436
5 Ag 0.564 0.564 0.564
6 Pb 0.269 0.269 0.269
7 Pb 0.731 0.731 0.731

***

ErPa2CuN5: optimized geometry, PBE.

Summary:
Space group   Cmc2_1, No. 36
Calculated total energy   -8.762 eV/atom
Crystal system   orthorhombic
Uncorrected formation energy   -1064 meV/atom

Lattice parameters (Å, degrees): 6.921 6.921 10.504 90.00 90.00 151.60
Positions (direct):
1 Er 0.181 0.819 0.500
2 Er 0.819 0.181 0.000
3 Pa 0.124 0.876 0.798
4 Pa 0.136 0.864 0.188
5 Pa 0.864 0.136 0.688
6 Pa 0.876 0.124 0.298
7 Cu 0.494 0.506 0.506
8 Cu 0.506 0.494 0.006
9 N 0.029 0.971 0.601
10 N 0.299 0.701 0.836
11 N 0.305 0.695 0.169
12 N 0.345 0.655 0.544
13 N 0.487 0.513 0.319
14 N 0.513 0.487 0.819
15 N 0.655 0.345 0.044
16 N 0.695 0.305 0.669
17 N 0.701 0.299 0.336
18 N 0.971 0.029 0.101

***

Co4Pt3: optimized geometry, PBE.

Summary:
Space group   I4/mmm, No. 139
Formation enthalpy at 0 K   -60 meV per atom
Calculated total energy   -6.709 eV/atom
Crystal system   tetragonal
Energy relative to the lowest polymorph listed for this composition   0.00 kcal/mol of atoms

Lattice parameters (Å, degrees): 12.840 12.840 12.840 167.97 167.97 17.05
Positions (direct):
1 Co 0.074 0.074 0.000
2 Co 0.365 0.365 0.000
3 Co 0.635 0.635 0.000
4 Co 0.926 0.926 0.000
5 Pt 0.208 0.208 0.000
6 Pt 0.500 0.500 0.000
7 Pt 0.792 0.792 0.000